Computed, not measured: crystalline KSnIN2 at its relaxed geometry at the GGA-PBE level of DFT.

## Properties
Formation energy from raw total energies (eV per atom): 0.76
Calculated total energy (eV/atom): -3.9032
Magnetization (μB per formula unit): 2.2
DOS(E_F) (states/eV per atom): 0.70
Volume (Å³/cell): 124.9

abc: 4.4325 4.4325 6.3595
angles: 90.00 90.00 90.00
Closest atoms and distances in Å follow each position.
Fractional coordinates of all 5 atoms:
I 0.0000 0.0000 0.5000  4 K 3.13, 2 Sn 3.18
K 0.5000 0.5000 0.5000  4 I 3.13
Sn 0.0000 0.0000 0.0000  4 N 2.22
N 0.0000 0.5000 0.0000  2 Sn 2.22
N 0.5000 0.0000 0.0000  2 Sn 2.22

=====

Computed, not measured: crystalline KSr2IN at its relaxed geometry at the GGA-PBE level of DFT.

## Properties
Formation energy from raw total energies (eV per atom): 0.64
Calculated total energy (eV/atom): -2.2296
Magnetization (μB per formula unit): 0.0
DOS(E_F) (states/eV per atom): 0.67
Volume (Å³/cell): 196.2

abc: 6.6055 4.4960 6.6055
angles: 90.00 90.00 90.00
Closest atoms and distances in Å follow each position.
Fractional coordinates of all 5 atoms:
I 0.5000 0.5000 0.5000  8 Sr 4.00
Sr 0.0000 0.0000 0.5000  2 K 3.30
Sr 0.5000 0.0000 0.0000  2 K 3.30
K 0.0000 0.0000 0.0000  2 N 2.25
N 0.0000 0.5000 0.0000  2 K 2.25

=====

Computed, not measured: crystalline KTaI2N at its relaxed geometry at the GGA-PBE level of DFT.

## Properties
Formation energy from raw total energies (eV per atom): -0.43
Calculated total energy (eV/atom): -5.3034
Magnetization (μB per formula unit): 1.0
DOS(E_F) (states/eV per atom): 0.57
Volume (Å³/cell): 141.4

abc: 5.9564 5.9564 3.9864
angles: 90.00 90.00 90.00
Closest atoms and distances in Å follow each position.
Fractional coordinates of all 5 atoms:
I 0.0000 0.5000 0.0000  2 Ta 2.98
I 0.5000 0.0000 0.0000  2 Ta 2.98
K 0.5000 0.5000 0.5000  8 I 3.58, 2 K 3.99
N 0.0000 0.0000 0.5000  2 Ta 1.99
Ta 0.0000 0.0000 0.0000  2 N 1.99

=====

Computed, not measured: crystalline KTaI2N at its relaxed geometry at the GGA-PBE level of DFT.

## Properties
Formation energy from raw total energies (eV per atom): 2.10
Calculated total energy (eV/atom): -2.7789
Magnetization (μB per formula unit): 0.4
DOS(E_F) (states/eV per atom): 1.73
Volume (Å³/cell): 144.1

abc: 5.9467 5.9467 4.0743
angles: 90.00 90.00 90.00
Closest atoms and distances in Å follow each position.
Fractional coordinates of all 5 atoms:
I 0.0000 0.5000 0.0000  2 K 2.97
I 0.5000 0.0000 0.0000  2 K 2.97
K 0.0000 0.0000 0.0000  2 N 2.04
N 0.0000 0.0000 0.5000  2 K 2.04
Ta 0.5000 0.5000 0.5000  8 I 3.60

=====

Computed, not measured: crystalline KTcI2N at its relaxed geometry at the GGA-PBE level of DFT.

## Properties
Formation energy from raw total energies (eV per atom): 1.56
Calculated total energy (eV/atom): -3.0140
Magnetization (μB per formula unit): 2.1
DOS(E_F) (states/eV per atom): 0.75
Volume (Å³/cell): 201.8

abc: 6.4003 6.4003 4.9258
angles: 90.00 90.00 90.00
Closest atoms and distances in Å follow each position.
Fractional coordinates of all 5 atoms:
I 0.0000 0.5000 0.0000  2 K 3.20
I 0.5000 0.0000 0.0000  2 K 3.20
K 0.0000 0.0000 0.0000  2 N 2.46
Tc 0.5000 0.5000 0.5000  8 I 4.04
N 0.0000 0.0000 0.5000  2 K 2.46

=====

Computed, not measured: crystalline KTcI2N at its relaxed geometry at the GGA-PBE level of DFT.

## Properties
Formation energy from raw total energies (eV per atom): -0.19
Calculated total energy (eV/atom): -4.7693
Magnetization (μB per formula unit): 0.5
DOS(E_F) (states/eV per atom): 0.87
Volume (Å³/cell): 130.2

abc: 5.8323 5.8323 3.8262
angles: 90.00 90.00 90.00
Closest atoms and distances in Å follow each position.
Fractional coordinates of all 5 atoms:
I 0.0000 0.5000 0.0000  2 Tc 2.92
I 0.5000 0.0000 0.0000  2 Tc 2.92
K 0.5000 0.5000 0.5000  8 I 3.49, 2 K 3.83
Tc 0.0000 0.0000 0.0000  2 N 1.91
N 0.0000 0.0000 0.5000  2 Tc 1.91

=====

Computed, not measured: crystalline KTeIN2 at its relaxed geometry at the GGA-PBE level of DFT.

## Properties
Formation energy from raw total energies (eV per atom): 1.84
Calculated total energy (eV/atom): -2.6488
Magnetization (μB per formula unit): 5.5
DOS(E_F) (states/eV per atom): 0.73
Volume (Å³/cell): 181.4

abc: 5.0291 5.0291 7.1715
angles: 90.00 90.00 90.00
Closest atoms and distances in Å follow each position.
Fractional coordinates of all 5 atoms:
I 0.5000 0.5000 0.5000  4 Te 3.56
K 0.0000 0.0000 0.0000  4 N 2.51
Te 0.0000 0.0000 0.5000  4 I 3.56, 2 K 3.59
N 0.0000 0.5000 0.0000  2 K 2.51
N 0.5000 0.0000 0.0000  2 K 2.51

=====

Computed, not measured: crystalline KTeI2N at its relaxed geometry at the GGA-PBE level of DFT.

## Properties
Formation energy from raw total energies (eV per atom): 1.34
Calculated total energy (eV/atom): -1.7891
Magnetization (μB per formula unit): 0.2
DOS(E_F) (states/eV per atom): 2.49
Volume (Å³/cell): 177.9

abc: 6.3049 6.3049 4.4752
angles: 90.00 90.00 90.00
Closest atoms and distances in Å follow each position.
Fractional coordinates of all 5 atoms:
I 0.0000 0.5000 0.0000  2 K 3.15
I 0.5000 0.0000 0.0000  2 K 3.15
K 0.0000 0.0000 0.0000  2 N 2.24
Te 0.5000 0.5000 0.5000  8 I 3.87
N 0.0000 0.0000 0.5000  2 K 2.24

=====

Computed, not measured: crystalline KTeI2N at its relaxed geometry at the GGA-PBE level of DFT.

## Properties
Formation energy from raw total energies (eV per atom): -0.01
Calculated total energy (eV/atom): -3.1480
Magnetization (μB per formula unit): 0.0
DOS(E_F) (states/eV per atom): 0.18
Volume (Å³/cell): 168.5

abc: 6.4289 6.4289 4.0759
angles: 90.00 90.00 90.00
Closest atoms and distances in Å follow each position.
Fractional coordinates of all 5 atoms:
I 0.0000 0.5000 0.0000  2 Te 3.21
I 0.5000 0.0000 0.0000  2 Te 3.21
K 0.5000 0.5000 0.5000  8 I 3.81, 2 K 4.08
Te 0.0000 0.0000 0.0000  2 N 2.04
N 0.0000 0.0000 0.5000  2 Te 2.04

=====

Computed, not measured: crystalline KTeIN2 at its relaxed geometry at the GGA-PBE level of DFT.

## Properties
Formation energy from raw total energies (eV per atom): 1.50
Calculated total energy (eV/atom): -2.9907
Magnetization (μB per formula unit): 2.7
DOS(E_F) (states/eV per atom): 0.66
Volume (Å³/cell): 129.6

abc: 4.6476 4.6476 6.0005
angles: 90.00 90.00 90.00
Closest atoms and distances in Å follow each position.
Fractional coordinates of all 5 atoms:
I 0.0000 0.0000 0.0000  4 N 2.32
K 0.5000 0.5000 0.5000  4 Te 3.29
Te 0.0000 0.0000 0.5000  2 I 3.00, 4 K 3.29
N 0.0000 0.5000 0.0000  2 I 2.32
N 0.5000 0.0000 0.0000  2 I 2.32

=====

Computed, not measured: crystalline KTeI2N at its relaxed geometry at the GGA-PBE level of DFT.

## Properties
Formation energy from raw total energies (eV per atom): 1.11
Calculated total energy (eV/atom): -2.0203
Magnetization (μB per formula unit): 6.0
DOS(E_F) (states/eV per atom): 1.07
Volume (Å³/cell): 318.7

abc: 6.7294 6.7294 7.0382
angles: 90.00 90.00 90.00
Closest atoms and distances in Å follow each position.
Fractional coordinates of all 5 atoms:
I 0.0000 0.5000 0.0000  2 K 3.36
I 0.5000 0.0000 0.0000  2 K 3.36
K 0.0000 0.0000 0.0000  4 I 3.36, 2 Te 3.52
Te 0.0000 0.0000 0.5000  2 K 3.52
N 0.5000 0.5000 0.5000  4 Te 4.76, 8 I 4.87

=====

Computed, not measured: crystalline KTeI2N at its relaxed geometry at the GGA-PBE level of DFT.

## Properties
Formation energy from raw total energies (eV per atom): 0.32
Calculated total energy (eV/atom): -2.8123
Magnetization (μB per formula unit): 0.0
DOS(E_F) (states/eV per atom): 0.38
Volume (Å³/cell): 137.2

abc: 5.2702 5.2702 4.9385
angles: 90.00 90.00 90.00
Closest atoms and distances in Å follow each position.
Fractional coordinates of all 5 atoms:
I 0.0000 0.5000 0.0000  2 N 2.64
I 0.5000 0.0000 0.0000  2 N 2.64
K 0.5000 0.5000 0.5000  8 I 3.61, 4 Te 3.73
Te 0.0000 0.0000 0.5000  2 N 2.47
N 0.0000 0.0000 0.0000  2 Te 2.47, 4 I 2.64

=====

Computed, not measured: crystalline KTeIN2 at its relaxed geometry at the GGA-PBE level of DFT.

## Properties
Formation energy from raw total energies (eV per atom): 0.89
Calculated total energy (eV/atom): -3.5975
Magnetization (μB per formula unit): 1.2
DOS(E_F) (states/eV per atom): 0.28
Volume (Å³/cell): 129.7

abc: 4.3238 4.3238 6.9360
angles: 90.00 90.00 90.00
Closest atoms and distances in Å follow each position.
Fractional coordinates of all 5 atoms:
I 0.0000 0.0000 0.5000  4 K 3.06
K 0.5000 0.5000 0.5000  4 I 3.06
Te 0.0000 0.0000 0.0000  4 N 2.16
N 0.0000 0.5000 0.0000  2 Te 2.16
N 0.5000 0.0000 0.0000  2 Te 2.16

=====

Computed, not measured: crystalline KTiI2N at its relaxed geometry at the GGA-PBE level of DFT.

## Properties
Formation energy from raw total energies (eV per atom): -0.68
Calculated total energy (eV/atom): -4.7684
Magnetization (μB per formula unit): 0.0
DOS(E_F) (states/eV per atom): 0.30
Volume (Å³/cell): 136.1

abc: 5.9453 5.9453 3.8517
angles: 90.00 90.00 90.00
Closest atoms and distances in Å follow each position.
Fractional coordinates of all 5 atoms:
I 0.0000 0.5000 0.0000  2 Ti 2.97
I 0.5000 0.0000 0.0000  2 Ti 2.97
K 0.5000 0.5000 0.5000  8 I 3.54, 2 K 3.85
N 0.0000 0.0000 0.5000  2 Ti 1.93
Ti 0.0000 0.0000 0.0000  2 N 1.93

=====

Computed, not measured: crystalline KTiI2N at its relaxed geometry at the GGA-PBE level of DFT.

## Properties
Formation energy from raw total energies (eV per atom): 1.06
Calculated total energy (eV/atom): -3.0208
Magnetization (μB per formula unit): 0.0
DOS(E_F) (states/eV per atom): 1.09
Volume (Å³/cell): 203.8

abc: 6.4015 6.4015 4.9734
angles: 90.00 90.00 90.00
Closest atoms and distances in Å follow each position.
Fractional coordinates of all 5 atoms:
I 0.0000 0.5000 0.0000  2 K 3.20
I 0.5000 0.0000 0.0000  2 K 3.20
K 0.0000 0.0000 0.0000  2 N 2.49
N 0.0000 0.0000 0.5000  2 K 2.49
Ti 0.5000 0.5000 0.5000  8 I 4.05, 4 N 4.53

=====

Computed, not measured: crystalline KWIN2 at its relaxed geometry at the GGA-PBE level of DFT.

## Properties
Formation energy from raw total energies (eV per atom): 0.23
Calculated total energy (eV/atom): -6.2179
Magnetization (μB per formula unit): 0.0
DOS(E_F) (states/eV per atom): 0.35
Volume (Å³/cell): 98.3

abc: 4.1153 4.1153 5.8031
angles: 90.00 90.00 90.00
Closest atoms and distances in Å follow each position.
Fractional coordinates of all 5 atoms:
I 0.0000 0.0000 0.5000  2 W 2.90, 4 K 2.91
K 0.5000 0.5000 0.5000  4 I 2.91
W 0.0000 0.0000 0.0000  4 N 2.06
N 0.0000 0.5000 0.0000  2 W 2.06
N 0.5000 0.0000 0.0000  2 W 2.06

=====

Computed, not measured: crystalline KWIN2 at its relaxed geometry at the GGA-PBE level of DFT.

## Properties
Formation energy from raw total energies (eV per atom): 3.37
Calculated total energy (eV/atom): -3.0817
Magnetization (μB per formula unit): 0.0
DOS(E_F) (states/eV per atom): 1.57
Volume (Å³/cell): 103.3

abc: 4.2560 4.2560 5.7051
angles: 90.00 90.00 90.00
Closest atoms and distances in Å follow each position.
Fractional coordinates of all 5 atoms:
I 0.0000 0.0000 0.5000  2 K 2.85, 4 W 3.01
K 0.0000 0.0000 0.0000  4 N 2.13
W 0.5000 0.5000 0.5000  4 I 3.01
N 0.0000 0.5000 0.0000  2 K 2.13
N 0.5000 0.0000 0.0000  2 K 2.13

=====

Computed, not measured: crystalline KYIN2 at its relaxed geometry at the GGA-PBE level of DFT.

## Properties
Formation energy from raw total energies (eV per atom): 1.46
Calculated total energy (eV/atom): -3.6891
Magnetization (μB per formula unit): 3.1
DOS(E_F) (states/eV per atom): 0.41
Volume (Å³/cell): 132.5

abc: 4.7623 4.7623 5.8441
angles: 90.00 90.00 90.00
Closest atoms and distances in Å follow each position.
Fractional coordinates of all 5 atoms:
I 0.0000 0.0000 0.5000  2 K 2.92
Y 0.5000 0.5000 0.5000  4 I 3.37, 8 N 3.77
K 0.0000 0.0000 0.0000  4 N 2.38
N 0.0000 0.5000 0.0000  2 K 2.38
N 0.5000 0.0000 0.0000  2 K 2.38

=====

Computed, not measured: crystalline KYIN2 at its relaxed geometry at the GGA-PBE level of DFT.

## Properties
Formation energy from raw total energies (eV per atom): 0.08
Calculated total energy (eV/atom): -5.0698
Magnetization (μB per formula unit): 3.0
DOS(E_F) (states/eV per atom): 0.66
Volume (Å³/cell): 139.1

abc: 4.6961 4.6961 6.3052
angles: 90.00 90.00 90.00
Closest atoms and distances in Å follow each position.
Fractional coordinates of all 5 atoms:
I 0.0000 0.0000 0.5000  2 Y 3.15, 4 K 3.32
Y 0.0000 0.0000 0.0000  4 N 2.35
K 0.5000 0.5000 0.5000  4 I 3.32
N 0.0000 0.5000 0.0000  2 Y 2.35
N 0.5000 0.0000 0.0000  2 Y 2.35

=====

Computed, not measured: crystalline KYI2N at its relaxed geometry at the GGA-PBE level of DFT.

## Properties
Formation energy from raw total energies (eV per atom): 0.70
Calculated total energy (eV/atom): -3.0961
Magnetization (μB per formula unit): 0.9
DOS(E_F) (states/eV per atom): 0.89
Volume (Å³/cell): 171.3

abc: 6.0571 6.0571 4.6699
angles: 90.00 90.00 90.00
Closest atoms and distances in Å follow each position.
Fractional coordinates of all 5 atoms:
I 0.0000 0.5000 0.0000  2 K 3.03
I 0.5000 0.0000 0.0000  2 K 3.03
Y 0.5000 0.5000 0.5000  8 I 3.82, 4 N 4.28
K 0.0000 0.0000 0.0000  2 N 2.33
N 0.0000 0.0000 0.5000  2 K 2.33